The following is a GGA+U calculation of a relaxed LiVF4 crystal, from the Alexandria database.

Cell: 10.017 6.244 4.655 Å, 90.00 90.00 90.00°
Element x y z (fractional)
Li1 0.223 0.250 0.025
Li2 0.277 0.750 0.525
Li3 0.723 0.250 0.475
Li4 0.777 0.750 0.975
V1 0.000 0.000 0.500
V2 0.000 0.500 0.500
V3 0.500 0.000 0.000
V4 0.500 0.500 0.000
F1 0.075 0.250 0.729
F2 0.087 0.750 0.703
F3 0.157 0.009 0.266
F4 0.157 0.491 0.266
F5 0.343 0.509 0.766
F6 0.343 0.991 0.766
F7 0.413 0.250 0.203
F8 0.425 0.750 0.229
F9 0.575 0.250 0.771
F10 0.587 0.750 0.797
F11 0.657 0.009 0.234
F12 0.657 0.491 0.234
F13 0.843 0.509 0.734
F14 0.843 0.991 0.734
F15 0.913 0.250 0.297
F16 0.925 0.750 0.271

- E (eV per atom) = -5.68
- total moment (μB per cell) = 8.00
- energy above the most stable polymorph in this dataset (meV/atom) = 49.2